No. 1
DySiAsO | PBE | relaxed

Output
The spin magnetization comes out at 0.00 μB per formula unit. As for the space group: Pmc2_1. As for the energy above the most stable polymorph in this dataset: 0.159 eV/atom. The value obtained for the volume is 137.7 Å³ per cell.

a = 3.921 Å, b = 5.818 Å, c = 6.035 Å
α = 90.00°, β = 90.00°, γ = 90.00°
Atoms (fractional coordinates):
1 Dy 0.000 0.240 0.000
2 Dy 0.000 0.760 0.500
3 Si 0.500 0.369 0.377
4 Si 0.500 0.631 0.877
5 As 0.500 0.089 0.679
6 As 0.500 0.911 0.179
7 O 0.000 0.402 0.344
8 O 0.000 0.598 0.844

=====

No. 2
SbAsPd4C2 | PBE | relaxed

Output
The calculated total energy comes out at -43.23 eV per cell. As for the space group: P-6m2. The value obtained for the volume is 122.4 Å³ per cell.

a = 3.162 Å, b = 3.162 Å, c = 14.137 Å
α = 90.00°, β = 90.00°, γ = 120.00°
Atoms (fractional coordinates):
1 Sb 0.000 0.000 0.000
2 As 0.333 0.667 0.500
3 Pd 0.000 0.000 0.345
4 Pd 0.000 0.000 0.655
5 Pd 0.333 0.667 0.182
6 Pd 0.333 0.667 0.818
7 C 0.667 0.333 0.261
8 C 0.667 0.333 0.739

=====

Theoretical density for every record listed, in sequence, given in g/cm3: 6.79; 8.77.